# KScSb3 (PBEsol, relaxed)
# * D(E_F): 4.07 states/eV/cell
# * uncorrected energy: -3.1862 eV/atom
data_KScSb3
_chemical_formula_sum 'K1 Sc1 Sb3'
_space_group_name_H-M_alt 'P m -3 m'
_space_group_IT_number 221
_space_group_name_Hall '-P 4 2 3'
_cell_length_a 5.494
_cell_length_b 5.494
_cell_length_c 5.494
_cell_angle_alpha 90.00
_cell_angle_beta 90.00
_cell_angle_gamma 90.00
loop_
_atom_site_label
_atom_site_fract_x
_atom_site_fract_y
_atom_site_fract_z
K1 0.000 0.000 0.000
Sc1 0.500 0.500 0.500
Sb1 0.000 0.000 0.500

# KScSb2Se (PBEsol, relaxed)
# * D(E_F): 4.40 states/eV/cell
# * uncorrected energy: -2.8616 eV/atom
data_KScSb2Se
_chemical_formula_sum 'K1 Sc1 Sb2 Se1'
_space_group_name_H-M_alt 'P 4/m m m'
_space_group_IT_number 123
_space_group_name_Hall '-P 4 2'
_cell_length_a 5.641
_cell_length_b 5.641
_cell_length_c 4.823
_cell_angle_alpha 90.00
_cell_angle_beta 90.00
_cell_angle_gamma 90.00
loop_
_atom_site_label
_atom_site_fract_x
_atom_site_fract_y
_atom_site_fract_z
K1 0.000 0.000 0.000
Sc1 0.000 0.000 0.500
Sb1 0.000 0.500 0.000
Se1 0.500 0.500 0.500

# KSbSe2 (PBEsol, relaxed)
# * uncorrected energy: -4.0147 eV/atom
data_KSbSe2
_chemical_formula_sum 'K4 Sb4 Se8'
_space_group_name_H-M_alt 'P 1 2/c 1'
_space_group_IT_number 13
_cell_length_a 6.453
_cell_length_b 6.394
_cell_length_c 13.213
_cell_angle_alpha 90.00
_cell_angle_beta 111.70
_cell_angle_gamma 90.00
loop_
_space_group_symop_operation_xyz
'x,y,z'
'-x,-y,-z'
'-x,y,-z+1/2'
'x,-y,z+1/2'
loop_
_atom_site_label
_atom_site_fract_x
_atom_site_fract_y
_atom_site_fract_z
K1 0.140 0.239 0.119
Sb1 0.413 0.290 0.879
Se1 0.208 0.267 0.646
Se2 0.363 0.308 0.385

# K3SbSe4 (PBEsol, relaxed)
# * uncorrected energy: -3.7500 eV/atom
data_K3SbSe4
_chemical_formula_sum 'K18 Sb6 Se24'
_space_group_name_H-M_alt 'R 3 c'
_space_group_IT_number 161
_space_group_name_Hall 'R 3 -2"c'
_cell_length_a 11.4205
_cell_length_b 11.4205
_cell_length_c 13.3352
_cell_angle_alpha 90.00
_cell_angle_beta 90.00
_cell_angle_gamma 120.00
loop_
_atom_site_label
_atom_site_fract_x
_atom_site_fract_y
_atom_site_fract_z
K1 0.1416 0.3392 0.0000
Sb1 0.0000 0.0000 0.1598
Se1 0.0000 0.0000 0.3473
Se2 0.1975 0.4275 0.2647

# KSbSe2 (PBEsol, relaxed)
# * D(E_F): 0.00 states/eV/cell
# * uncorrected energy: -3.9262 eV/atom
data_KSbSe2
_chemical_formula_sum 'K1 Sb1 Se2'
_space_group_name_H-M_alt 'P 4 m m'
_space_group_IT_number 99
_cell_length_a 4.184
_cell_length_b 4.184
_cell_length_c 7.142
_cell_angle_alpha 90.00
_cell_angle_beta 90.00
_cell_angle_gamma 90.00
loop_
_space_group_symop_operation_xyz
'x,y,z'
'-y,x,z'
'-x,-y,z'
'y,-x,z'
'-x,y,z'
'y,x,z'
'x,-y,z'
'-y,-x,z'
loop_
_atom_site_label
_atom_site_fract_x
_atom_site_fract_y
_atom_site_fract_z
K1 0.000 0.000 0.000
Sb1 0.500 0.500 0.523
Se1 0.000 0.000 0.466
Se2 0.500 0.500 0.867

# KSbSe2 (PBEsol, relaxed)
# * D(E_F): 0.03 states/eV/cell
# * uncorrected energy: -3.8878 eV/atom
data_KSbSe2
_chemical_formula_sum 'K2 Sb2 Se4'
_space_group_name_H-M_alt 'I m m 2'
_space_group_IT_number 44
_cell_length_a 3.791
_cell_length_b 4.103
_cell_length_c 14.876
_cell_angle_alpha 90.00
_cell_angle_beta 90.00
_cell_angle_gamma 90.00
loop_
_space_group_symop_operation_xyz
'x,y,z'
'-x,-y,z'
'-x,y,z'
'x,-y,z'
'x+1/2,y+1/2,z+1/2'
'-x+1/2,-y+1/2,z+1/2'
'-x+1/2,y+1/2,z+1/2'
'x+1/2,-y+1/2,z+1/2'
loop_
_atom_site_label
_atom_site_fract_x
_atom_site_fract_y
_atom_site_fract_z
K1 0.000 0.000 0.000
Sb1 0.000 0.500 0.751
Se1 0.000 0.000 0.385
Se2 0.000 0.500 0.178

Q: Which value of uncorrected energy does entry 5 give?
A: -3.9262 eV/atom